[1]
Entry from Alexandria: an optimized crystal structure of Ac4Tl5Hg3 (PBE-GGA).

a b c (Å): 5.4186 9.9526 9.8382
angles (deg): 53.70 74.01 74.20
Last column: nearest neighbours and their distance in Å.
Sites, in units of the cell vectors:
Ac (0.0887, 0.0856, 0.7370)  4 Hg 3.29-3.53, 2 Tl 3.57
Ac (0.2973, 0.6563, 0.7492)  4 Tl 3.39-3.48, 3 Hg 3.46-3.52
Ac (0.7027, 0.3437, 0.2508)  4 Tl 3.39-3.48, 3 Hg 3.46-3.52
Ac (0.9113, 0.9144, 0.2630)  4 Hg 3.29-3.53, 2 Tl 3.57
Tl (0.5864, 0.8280, 0.9991)  1 Hg 3.16, 3 Tl 3.19-3.30
Tl (0.5000, 0.5000, 0.5000)  2 Hg 2.71
Tl (0.1273, 0.6166, 0.1288)  1 Hg 3.03, 2 Tl 3.19, 1 Ac 3.39
Tl (0.8727, 0.3834, 0.8712)  1 Hg 3.03, 2 Tl 3.19, 1 Ac 3.39
Tl (0.4136, 0.1720, 0.0009)  1 Hg 3.16, 3 Tl 3.19-3.30
Hg (0.2768, 0.0615, 0.3849)  1 Tl 3.16, 2 Hg 3.26, 6 Ac 3.46-3.53
Hg (0.0000, 0.5000, 0.5000)  4 Tl 2.71-3.03
Hg (0.7232, 0.9385, 0.6151)  1 Tl 3.16, 2 Hg 3.26, 6 Ac 3.46-3.53

Values from the calculation:
- E_tot (eV per atom) = -2.6539
- crystal system = monoclinic
- calculated formation energy (eV/atom) = -0.223

***

[2]
Entry from Alexandria: an optimized crystal structure of TiCrHg2Au (PBE-GGA).

a b c (Å): 5.1187 4.2424 5.1187
angles (deg): 90.00 90.00 90.00
Last column: nearest neighbours and their distance in Å.
Sites, in units of the cell vectors:
Cr (0.0000, 0.0000, 0.0000)  2 Ti 2.12
Au (0.5000, 0.5000, 0.5000)  8 Hg 3.32, 4 Ti 3.62
Hg (0.0000, 0.0000, 0.5000)  2 Cr 2.56
Hg (0.5000, 0.0000, 0.0000)  2 Cr 2.56
Ti (0.0000, 0.5000, 0.0000)  2 Cr 2.12

Values from the calculation:
- E_tot (eV per atom) = -3.5724
- crystal system = tetragonal
- calculated formation energy (eV/atom) = 0.707

***

[3]
Entry from Alexandria: an optimized crystal structure of TaAsH (PBE-GGA).

a b c (Å): 3.3187 5.7232 5.0220
angles (deg): 70.17 109.28 107.05
Last column: nearest neighbours and their distance in Å.
Sites, in units of the cell vectors:
Ta (0.3435, 0.2677, 0.4207)  3 H 1.97-2.04
Ta (0.6565, 0.7323, 0.5793)  3 H 1.97-2.04
As (0.0857, 0.3448, 0.8294)  5 Ta 2.67-2.72, 2 H 2.93-2.94
As (0.9143, 0.6552, 0.1706)  5 Ta 2.67-2.72, 2 H 2.93-2.94
H (0.2922, 0.9152, 0.6682)  3 Ta 1.97-2.04
H (0.7078, 0.0848, 0.3318)  3 Ta 1.97-2.04

Values from the calculation:
- E above lowest polymorph (eV per atom) = 0.000
- E_tot (eV per atom) = -6.9355
- crystal system = triclinic

***

[4]
Entry from Alexandria: an optimized crystal structure of TlReP (PBE-GGA).

a b c (Å): 3.8854 3.8854 4.6983
angles (deg): 90.00 90.00 120.00
Last column: nearest neighbours and their distance in Å.
Sites, in units of the cell vectors:
Tl (0.3333, 0.6667, 0.6741)  3 Re 3.05, 6 P 3.12-3.38
Re (0.6667, 0.3333, 0.1135)  3 P 2.29
P (0.0000, 0.0000, 0.2124)  3 Re 2.29

Values from the calculation:
- E above lowest polymorph (eV per atom) = 0.235
- E_tot (eV per atom) = -6.2628
- crystal system = trigonal
- calculated formation energy (eV/atom) = 0.479

***

[5]
Entry from Alexandria: an optimized crystal structure of ReMo (PBE-GGA).

a b c (Å): 2.8037 2.8037 3.9408
angles (deg): 90.00 90.00 90.00
Last column: nearest neighbours and their distance in Å.
Sites, in units of the cell vectors:
Re (0.5000, 0.5000, 0.0000)  8 Mo 2.80, 4 Re 2.80
Mo (0.0000, 0.0000, 0.5000)  8 Re 2.80, 4 Mo 2.80

Values from the calculation:
- E above lowest polymorph (eV per atom) = 0.100
- E_tot (eV per atom) = -11.4470
- crystal system = tetragonal
- calculated formation energy (eV/atom) = 0.193

***

[6]
Entry from Alexandria: an optimized crystal structure of Ta8TcMo2 (PBE-GGA).

a b c (Å): 4.6220 7.0984 7.2919
angles (deg): 120.87 108.48 90.00
Last column: nearest neighbours and their distance in Å.
Sites, in units of the cell vectors:
Ta (0.5941, 0.7370, 0.1882)  3 Mo 2.78-2.80, 1 Tc 2.79, 4 Ta 2.87-2.94
Ta (0.3204, 0.5602, 0.6408)  1 Tc 2.74, 1 Mo 2.76, 6 Ta 2.80-2.92
Ta (0.1361, 0.0857, 0.2722)  3 Mo 2.79-2.84, 2 Tc 2.83, 3 Ta 2.87-2.92
Ta (0.0506, 0.3754, 0.1011)  1 Mo 2.73, 7 Ta 2.79-2.87
Ta (0.8639, 0.9143, 0.7278)  3 Mo 2.79-2.84, 2 Tc 2.83, 3 Ta 2.87-2.92
Ta (0.6796, 0.4398, 0.3592)  1 Tc 2.74, 1 Mo 2.76, 6 Ta 2.80-2.92
Ta (0.4059, 0.2630, 0.8118)  3 Mo 2.78-2.80, 1 Tc 2.79, 4 Ta 2.87-2.94
Ta (0.9494, 0.6246, 0.8989)  1 Mo 2.73, 7 Ta 2.79-2.87
Tc (0.5000, 0.0000, 0.0000)  8 Ta 2.74-2.83
Mo (0.2253, 0.8154, 0.4506)  8 Ta 2.73-2.84
Mo (0.7747, 0.1846, 0.5494)  8 Ta 2.73-2.84

Values from the calculation:
- E_tot (eV per atom) = -11.7133
- crystal system = monoclinic
- calculated formation energy (eV/atom) = -0.182